Material: CaWIO2
Method: DFT, GGA+U
State: relaxed

- Relative energy among the computed polymorphs: 0.000 eV per atom
- Density of states at the Fermi level: 0.453 states/eV/cell
- Raw total energy: -0.193 Ha/atom
- SG: P4/mmm (123)

The structure in POSCAR format:
```
CaWIO2
1.0
4.166 0.000 0.000
0.000 4.166 0.000
0.000 0.000 5.908
I Ca O W
1 1 2 1
Direct
0.000 0.000 0.500
0.500 0.500 0.500
0.000 0.500 0.000
0.500 0.000 0.000
0.000 0.000 0.000
```